1.
DFT (PBE-GGA) results for an optimized crystal structure of Nb3CoSe.

crystal system: cubic
raw formation energy: 0.660 eV/atom
density: 6970 kg/m3
size of the total moment: 0.0 μB per formula unit
energy above the most stable polymorph in this dataset: 0 meV per atom
space-group type: Pm-3m, No. 221

CIF file:
```
data_Nb3CoSe
_symmetry_space_group_name_H-M 'P 1'
_symmetry_Int_Tables_number 1
_cell_length_a 4.630
_cell_length_b 4.630
_cell_length_c 4.630
_cell_angle_alpha 90.00
_cell_angle_beta 90.00
_cell_angle_gamma 90.00
loop_
_symmetry_equiv_pos_as_xyz
'x,y,z'
loop_
_atom_site_label
_atom_site_fract_x
_atom_site_fract_y
_atom_site_fract_z
_atom_site_occupancy
Nb1 0.000 0.000 0.500 1
Nb2 0.000 0.500 0.000 1
Nb3 0.500 0.000 0.000 1
Co1 0.000 0.000 0.000 1
Se1 0.500 0.500 0.500 1
```

2.
DFT (PBE-GGA) results for an optimized crystal structure of TaNbCoSe2.

crystal system: tetragonal
raw formation energy: 0.761 eV/atom
density: 8597 kg/m3
size of the total moment: 0.0 μB per formula unit
space-group type: P4/mmm, No. 123

CIF file:
```
data_TaNbCoSe2
_symmetry_space_group_name_H-M 'P 1'
_symmetry_Int_Tables_number 1
_cell_length_a 4.568
_cell_length_b 4.568
_cell_length_c 4.542
_cell_angle_alpha 90.00
_cell_angle_beta 90.00
_cell_angle_gamma 90.00
loop_
_symmetry_equiv_pos_as_xyz
'x,y,z'
loop_
_atom_site_label
_atom_site_fract_x
_atom_site_fract_y
_atom_site_fract_z
_atom_site_occupancy
Ta1 0.000 0.000 0.000 1
Nb1 0.500 0.500 0.000 1
Co1 0.000 0.000 0.500 1
Se1 0.000 0.500 0.500 1
Se2 0.500 0.000 0.500 1
```

3.
DFT (PBE-GGA) results for an optimized crystal structure of NbCo2TcSe.

crystal system: tetragonal
raw formation energy: 1.259 eV/atom
density: 6691 kg/m3
size of the total moment: 2.7 μB per formula unit
space-group type: P4/mmm, No. 123

CIF file:
```
data_NbCo2TcSe
_symmetry_space_group_name_H-M 'P 1'
_symmetry_Int_Tables_number 1
_cell_length_a 4.473
_cell_length_b 4.473
_cell_length_c 4.809
_cell_angle_alpha 90.00
_cell_angle_beta 90.00
_cell_angle_gamma 90.00
loop_
_symmetry_equiv_pos_as_xyz
'x,y,z'
loop_
_atom_site_label
_atom_site_fract_x
_atom_site_fract_y
_atom_site_fract_z
_atom_site_occupancy
Nb1 0.000 0.000 0.000 1
Co1 0.000 0.500 0.500 1
Co2 0.500 0.000 0.500 1
Tc1 0.000 0.000 0.500 1
Se1 0.500 0.500 0.000 1
```

4.
DFT (PBE-GGA) results for an optimized crystal structure of Nb2CoTeSe.

crystal system: tetragonal
raw formation energy: 0.469 eV/atom
density: 7464 kg/m3
size of the total moment: 0.0 μB per formula unit
space-group type: P4/mmm, No. 123

CIF file:
```
data_Nb2CoTeSe
_symmetry_space_group_name_H-M 'P 1'
_symmetry_Int_Tables_number 1
_cell_length_a 4.907
_cell_length_b 4.907
_cell_length_c 4.170
_cell_angle_alpha 90.00
_cell_angle_beta 90.00
_cell_angle_gamma 90.00
loop_
_symmetry_equiv_pos_as_xyz
'x,y,z'
loop_
_atom_site_label
_atom_site_fract_x
_atom_site_fract_y
_atom_site_fract_z
_atom_site_occupancy
Nb1 0.000 0.500 0.000 1
Nb2 0.500 0.000 0.000 1
Co1 0.000 0.000 0.500 1
Te1 0.500 0.500 0.500 1
Se1 0.000 0.000 0.000 1
```

5.
DFT (PBE-GGA) results for an optimized crystal structure of NbTl3Co2Se6.

crystal system: monoclinic
raw formation energy: -0.340 eV/atom
density: 7815 kg/m3
size of the total moment: 0.0 μB per formula unit
space-group type: C2/m, No. 12

CIF file:
```
data_NbTl3Co2Se6
_symmetry_space_group_name_H-M 'P 1'
_symmetry_Int_Tables_number 1
_cell_length_a 6.184
_cell_length_b 6.184
_cell_length_c 8.918
_cell_angle_alpha 97.10
_cell_angle_beta 97.10
_cell_angle_gamma 123.15
loop_
_symmetry_equiv_pos_as_xyz
'x,y,z'
loop_
_atom_site_label
_atom_site_fract_x
_atom_site_fract_y
_atom_site_fract_z
_atom_site_occupancy
Nb1 0.000 0.000 0.000 1
Tl1 0.169 0.831 0.500 1
Tl2 0.500 0.500 0.500 1
Tl3 0.831 0.169 0.500 1
Co1 0.344 0.656 0.000 1
Co2 0.656 0.344 0.000 1
Se1 0.050 0.416 0.162 1
Se2 0.296 0.296 0.827 1
Se3 0.416 0.050 0.162 1
Se4 0.584 0.950 0.838 1
Se5 0.704 0.704 0.173 1
Se6 0.950 0.584 0.838 1
```

6.
DFT (PBE-GGA) results for an optimized crystal structure of Nb2Tl2CoSe6.

crystal system: monoclinic
raw formation energy: -0.506 eV/atom
density: 6757 kg/m3
size of the total moment: 1.0 μB per formula unit
space-group type: C2/m, No. 12

CIF file:
```
data_Nb2Tl2CoSe6
_symmetry_space_group_name_H-M 'P 1'
_symmetry_Int_Tables_number 1
_cell_length_a 6.306
_cell_length_b 6.306
_cell_length_c 8.372
_cell_angle_alpha 96.22
_cell_angle_beta 96.22
_cell_angle_gamma 121.44
loop_
_symmetry_equiv_pos_as_xyz
'x,y,z'
loop_
_atom_site_label
_atom_site_fract_x
_atom_site_fract_y
_atom_site_fract_z
_atom_site_occupancy
Nb1 0.139 0.861 0.000 1
Nb2 0.861 0.139 0.000 1
Tl1 0.312 0.688 0.500 1
Tl2 0.688 0.312 0.500 1
Co1 0.500 0.500 0.000 1
Se1 0.129 0.460 0.826 1
Se2 0.257 0.257 0.207 1
Se3 0.460 0.129 0.826 1
Se4 0.540 0.871 0.174 1
Se5 0.743 0.743 0.793 1
Se6 0.871 0.540 0.174 1
```

7.
DFT (PBE-GGA) results for an optimized crystal structure of Nb2TlCoSe.

crystal system: tetragonal
raw formation energy: 0.664 eV/atom
density: 8300 kg/m3
size of the total moment: 0.0 μB per formula unit
space-group type: P4/mmm, No. 123

CIF file:
```
data_Nb2TlCoSe
_symmetry_space_group_name_H-M 'P 1'
_symmetry_Int_Tables_number 1
_cell_length_a 4.665
_cell_length_b 4.665
_cell_length_c 4.854
_cell_angle_alpha 90.00
_cell_angle_beta 90.00
_cell_angle_gamma 90.00
loop_
_symmetry_equiv_pos_as_xyz
'x,y,z'
loop_
_atom_site_label
_atom_site_fract_x
_atom_site_fract_y
_atom_site_fract_z
_atom_site_occupancy
Nb1 0.000 0.500 0.000 1
Nb2 0.500 0.000 0.000 1
Tl1 0.000 0.000 0.500 1
Co1 0.000 0.000 0.000 1
Se1 0.500 0.500 0.500 1
```

8.
DFT (PBE-GGA) results for an optimized crystal structure of NbTlCoSe3.

crystal system: monoclinic
raw formation energy: -0.577 eV/atom
density: 6999 kg/m3
size of the total moment: 1.0 μB per formula unit
space-group type: P2_1/m, No. 11

CIF file:
```
data_NbTlCoSe3
_symmetry_space_group_name_H-M 'P 1'
_symmetry_Int_Tables_number 1
_cell_length_a 8.408
_cell_length_b 3.597
_cell_length_c 10.005
_cell_angle_alpha 90.00
_cell_angle_beta 111.55
_cell_angle_gamma 90.00
loop_
_symmetry_equiv_pos_as_xyz
'x,y,z'
loop_
_atom_site_label
_atom_site_fract_x
_atom_site_fract_y
_atom_site_fract_z
_atom_site_occupancy
Nb1 0.032 0.250 0.317 1
Nb2 0.968 0.750 0.683 1
Tl1 0.479 0.750 0.791 1
Tl2 0.521 0.250 0.209 1
Co1 0.023 0.750 0.106 1
Co2 0.977 0.250 0.894 1
Se1 0.167 0.250 0.613 1
Se2 0.176 0.750 0.944 1
Se3 0.258 0.750 0.329 1
Se4 0.742 0.250 0.671 1
Se5 0.824 0.250 0.056 1
Se6 0.833 0.750 0.387 1
```

9.
DFT (PBE-GGA) results for an optimized crystal structure of NbCo3Si.

crystal system: cubic
raw formation energy: 1.551 eV/atom
density: 5630 kg/m3
size of the total moment: 1.2 μB per formula unit
energy above the most stable polymorph in this dataset: 1771 meV per atom
space-group type: Pm-3m, No. 221

CIF file:
```
data_NbCo3Si
_symmetry_space_group_name_H-M 'P 1'
_symmetry_Int_Tables_number 1
_cell_length_a 4.445
_cell_length_b 4.445
_cell_length_c 4.445
_cell_angle_alpha 90.00
_cell_angle_beta 90.00
_cell_angle_gamma 90.00
loop_
_symmetry_equiv_pos_as_xyz
'x,y,z'
loop_
_atom_site_label
_atom_site_fract_x
_atom_site_fract_y
_atom_site_fract_z
_atom_site_occupancy
Nb1 0.000 0.000 0.000 1
Co1 0.000 0.000 0.500 1
Co2 0.000 0.500 0.000 1
Co3 0.500 0.000 0.000 1
Si1 0.500 0.500 0.500 1
```

10.
DFT (PBE-GGA) results for an optimized crystal structure of NbCoSi2.

crystal system: tetragonal
raw formation energy: -0.547 eV/atom
density: 6221 kg/m3
size of the total moment: 0.0 μB per formula unit
space-group type: P4/nmm, No. 129

CIF file:
```
data_NbCoSi2
_symmetry_space_group_name_H-M 'P 1'
_symmetry_Int_Tables_number 1
_cell_length_a 3.604
_cell_length_b 3.604
_cell_length_c 8.550
_cell_angle_alpha 90.00
_cell_angle_beta 90.00
_cell_angle_gamma 90.00
loop_
_symmetry_equiv_pos_as_xyz
'x,y,z'
loop_
_atom_site_label
_atom_site_fract_x
_atom_site_fract_y
_atom_site_fract_z
_atom_site_occupancy
Nb1 0.250 0.250 0.234 1
Nb2 0.750 0.750 0.766 1
Co1 0.250 0.750 0.500 1
Co2 0.750 0.250 0.500 1
Si1 0.250 0.250 0.662 1
Si2 0.250 0.750 0.000 1
Si3 0.750 0.250 0.000 1
Si4 0.750 0.750 0.338 1
```

11.
DFT (PBE-GGA) results for an optimized crystal structure of NbCoSi3.

crystal system: cubic
raw formation energy: 1.179 eV/atom
density: 3521 kg/m3
size of the total moment: 2.5 μB per formula unit
space-group type: Pm-3m, No. 221

CIF file:
```
data_NbCoSi3
_symmetry_space_group_name_H-M 'P 1'
_symmetry_Int_Tables_number 1
_cell_length_a 4.811
_cell_length_b 4.811
_cell_length_c 4.811
_cell_angle_alpha 90.00
_cell_angle_beta 90.00
_cell_angle_gamma 90.00
loop_
_symmetry_equiv_pos_as_xyz
'x,y,z'
loop_
_atom_site_label
_atom_site_fract_x
_atom_site_fract_y
_atom_site_fract_z
_atom_site_occupancy
Nb1 0.000 0.000 0.000 1
Co1 0.500 0.500 0.500 1
Si1 0.000 0.000 0.500 1
Si2 0.000 0.500 0.000 1
Si3 0.500 0.000 0.000 1
```